Entry 1:
The following is a DFT calculation (PBE) of crystalline PuCdPd4 at its relaxed geometry.

abc: 5.389 5.389 5.389
angles: 60.00 60.00 60.00
Site moments in Bohr magnetons follow the coordinates.
Element x y z (fractional)
Pd1 0.625 0.625 0.124  -0.12
Pd2 0.625 0.625 0.625  -0.12
Pd3 0.625 0.124 0.625  -0.12
Pd4 0.124 0.625 0.625  -0.12
Cd1 0.000 0.000 0.000  0.00
Pu1 0.250 0.250 0.250  5.05

=====

Entry 2:
The following is a DFT calculation (PBE) of crystalline Pu3CdPd4 at its relaxed geometry.

abc: 6.353 6.353 6.353
angles: 106.87 94.49 129.16
Site moments in Bohr magnetons follow the coordinates.
Element x y z (fractional)
Pd1 0.000 0.758 0.241  -0.03
Pd2 0.279 0.678 0.957  -0.04
Pd3 0.483 0.242 0.241  -0.03
Pd4 0.279 0.322 0.601  -0.04
Pu1 0.590 0.782 0.371  5.43
Pu2 0.928 0.000 0.928  5.53
Pu3 0.590 0.218 0.808  5.43
Cd1 0.003 0.500 0.503  0.03

=====

Entry 3:
The following is a DFT calculation (PBE) of crystalline PuCdPd at its relaxed geometry.

abc: 3.273 3.273 6.463
angles: 104.67 104.67 90.00
Site moments in Bohr magnetons follow the coordinates.
Element x y z (fractional)
Cd1 0.638 0.638 0.275  0.00
Pu1 0.936 0.936 0.871  5.40
Pd1 0.277 0.277 0.554  -0.03

=====

Entry 4:
The following is a DFT calculation (PBE) of crystalline PuCd2Pd8 at its relaxed geometry.

abc: 4.165 6.390 7.589
angles: 104.72 105.93 90.00
Site moments in Bohr magnetons follow the coordinates.
Element x y z (fractional)
Pd1 0.042 0.724 0.085  -0.07
Pd2 0.958 0.276 0.915  -0.07
Pd3 0.138 0.183 0.275  -0.06
Pd4 0.409 0.542 0.818  -0.04
Pd5 0.680 0.912 0.361  -0.04
Pd6 0.862 0.817 0.725  -0.06
Pd7 0.320 0.088 0.639  -0.04
Pd8 0.591 0.458 0.182  -0.04
Cd1 0.776 0.353 0.552  0.00
Cd2 0.224 0.647 0.448  0.00
Pu1 0.500 0.000 0.000  4.68

Output
For the polymorph energy (0 for the lowest one), the calculation gives 0.0000 eV per atom.

=====

Entry 5:
The following is a DFT calculation (PBE) of crystalline PuCdPd at its relaxed geometry.

abc: 3.232 5.758 7.942
angles: 116.79 101.76 106.25
Element x y z (fractional)
Pu1 0.636 0.324 0.447
Pu2 0.364 0.676 0.553
Cd1 0.911 0.269 0.052
Cd2 0.089 0.731 0.948
Pd1 0.788 0.800 0.276
Pd2 0.212 0.200 0.724

=====

Entry 6:
The following is a DFT calculation (PBE) of crystalline Pu5CdPd6 at its relaxed geometry.

abc: 4.964 8.483 8.546
angles: 60.24 73.12 54.18
Site moments in Bohr magnetons follow the coordinates.
Element x y z (fractional)
Pu1 0.500 0.824 0.352  5.25
Pu2 0.000 0.341 0.318  5.35
Pu3 0.500 0.500 0.000  5.31
Pu4 0.500 0.176 0.648  5.25
Pu5 0.000 0.659 0.682  5.35
Pd1 0.233 0.927 0.678  -0.04
Pd2 0.724 0.776 0.000  -0.03
Pd3 0.276 0.224 0.000  -0.03
Pd4 0.767 0.073 0.322  -0.04
Pd5 0.233 0.605 0.322  -0.04
Pd6 0.767 0.395 0.678  -0.04
Cd1 0.000 0.000 0.000  0.01

=====

Entry 7:
The following is a DFT calculation (PBE) of crystalline PuCdPd at its relaxed geometry.

abc: 4.806 3.434 7.926
angles: 102.51 90.57 90.00
Site moments in Bohr magnetons follow the coordinates.
Element x y z (fractional)
Cd1 0.250 0.257 0.514  0.01
Cd2 0.750 0.743 0.486  0.01
Pd1 0.254 0.611 0.221  -0.01
Pd2 0.746 0.389 0.779  -0.01
Pu1 0.752 0.058 0.117  5.34
Pu2 0.248 0.942 0.883  5.34

=====

Entry 8:
The following is a DFT calculation (PBE) of crystalline PuCd10Pd2 at its relaxed geometry.

abc: 5.677 7.584 7.639
angles: 82.01 68.19 68.02
Site moments in Bohr magnetons follow the coordinates.
Element x y z (fractional)
Cd1 0.712 0.780 0.796  0.01
Cd2 0.016 0.640 0.327  0.01
Cd3 0.000 0.000 0.500  0.00
Cd4 0.288 0.220 0.204  0.01
Cd5 0.508 0.780 0.204  0.01
Cd6 0.984 0.360 0.673  0.01
Cd7 0.492 0.220 0.796  0.01
Cd8 0.500 0.000 0.500  0.00
Cd9 0.344 0.640 0.673  0.01
Cd10 0.656 0.360 0.327  0.01
Pd1 0.500 0.500 0.000  0.02
Pd2 0.000 0.500 0.000  0.02
Pu1 0.000 0.000 0.000  5.57

=====

Entry 9:
The following is a DFT calculation (PBE) of crystalline Pu6CdPd6 at its relaxed geometry.

abc: 5.725 7.698 7.698
angles: 83.85 68.17 68.17
Site moments in Bohr magnetons follow the coordinates.
Element x y z (fractional)
Pu1 0.666 0.834 0.834  5.55
Pu2 0.334 0.166 0.166  5.55
Pu3 0.332 0.668 0.668  5.57
Pu4 0.668 0.332 0.332  5.57
Pu5 0.000 0.324 0.676  5.37
Pu6 0.000 0.676 0.324  5.37
Pd1 0.000 0.500 0.000  -0.01
Pd2 0.500 0.249 0.751  -0.01
Pd3 0.000 0.000 0.500  -0.01
Pd4 0.500 0.000 0.500  -0.01
Pd5 0.500 0.751 0.249  -0.01
Pd6 0.500 0.500 0.000  -0.01
Cd1 0.000 0.000 0.000  0.04

=====

Entry 10:
The following is a DFT calculation (PBE) of crystalline PuCdPd6 at its relaxed geometry.

abc: 4.662 5.822 5.822
angles: 119.99 90.00 90.00
Site moments in Bohr magnetons follow the coordinates.
Element x y z (fractional)
Pu1 0.000 0.083 0.917  4.69
Pd1 0.000 0.585 0.415  -0.07
Pd2 0.500 0.913 0.577  -0.08
Pd3 0.000 0.585 0.920  -0.07
Pd4 0.000 0.080 0.415  -0.07
Pd5 0.500 0.423 0.087  -0.08
Pd6 0.500 0.913 0.087  -0.08
Cd1 0.500 0.417 0.583  -0.01

Output
For the polymorph energy (0 for the lowest one), the calculation gives 0.0107 eV per atom.

=====

Entry 11:
The following is a DFT calculation (PBE) of crystalline Pu2Cd3Pd3 at its relaxed geometry.

abc: 2.942 8.174 8.174
angles: 120.00 90.00 90.00
Site moments in Bohr magnetons follow the coordinates.
Element x y z (fractional)
Cd1 0.000 0.000 0.770  0.01
Cd2 0.000 0.770 0.000  0.01
Cd3 0.000 0.230 0.230  0.01
Pu1 0.000 0.667 0.333  5.54
Pu2 0.000 0.333 0.667  5.54
Pd1 0.500 0.654 0.654  0.01
Pd2 0.500 0.000 0.346  0.01
Pd3 0.500 0.346 0.000  0.01

=====

Entry 12:
The following is a DFT calculation (PBE) of crystalline PuCd3Pd at its relaxed geometry.

abc: 6.828 6.828 6.828
angles: 66.16 66.16 66.16
Site moments in Bohr magnetons follow the coordinates.
Element x y z (fractional)
Cd1 0.380 0.984 0.977  0.01
Cd2 0.880 0.477 0.484  0.01
Cd3 0.484 0.880 0.477  0.01
Cd4 0.977 0.380 0.984  0.01
Cd5 0.984 0.977 0.380  0.01
Cd6 0.477 0.484 0.880  0.01
Pu1 0.927 0.927 0.927  5.55
Pu2 0.427 0.427 0.427  5.55
Pd1 0.750 0.750 0.750  -0.02
Pd2 0.250 0.250 0.250  -0.02

Output
For the polymorph energy (0 for the lowest one), the calculation gives 0.1904 eV per atom.

=====

The records above give, respectively, ΔH_f (0 K) values of -0.4318, -0.2313, -0.2849, -0.3717, -0.1612, -0.3855, -0.2641, -0.1382, -0.3084, -0.4048, -0.2520, -0.0324 eV/atom.
The records above give, respectively, magnetization values of 4.75, 17.42, 5.68, 4.39, 0.00, 27.73, 11.14, 6.15, 35.44, 4.32, 11.72, 11.97 μB per cell.